No. 1
A geometry-optimized U2AsO structure. Source: the Alexandria database, functional GGA-PBE.

Cell lengths 3.7312, 3.7312, 6.5939 Å; angles 73.56, 73.56, 60.00 degrees
With the nearest neighbours (Å) after each atom.
Element x y z (fractional)
1 As 0.0000 0.0000 0.0000  6 U 2.86
2 U 0.7669 0.7669 0.6993  3 O 2.49
3 U 0.2331 0.2331 0.3007  3 O 2.49
4 O 0.5000 0.5000 0.5000  6 U 2.49

- Symmetry: No. 166
- ΔE_f (raw): -1.4358 eV/atom
- E above lowest polymorph: 0 meV per atom

No. 2
A geometry-optimized LiPr3Ge6Pd2 structure. Source: the Alexandria database, functional GGA-PBE.

Cell lengths 6.0753, 6.0753, 8.2179 Å; angles 90.00, 90.00, 120.00 degrees
With the nearest neighbours (Å) after each atom.
Element x y z (fractional)
1 Li 0.0000 0.0000 0.5000  6 Ge 2.67
2 Pr 0.3333 0.6667 0.6270  9 Ge 3.13-3.19, 1 Pd 3.31
3 Pr 0.6667 0.3333 0.3730  9 Ge 3.13-3.19, 1 Pd 3.31
4 Pr 0.0000 0.0000 0.0000  6 Ge 3.08
5 Ge 0.6204 0.8102 0.2850  1 Pd 2.58, 2 Ge 2.62, 1 Li 2.67
6 Ge 0.1898 0.3796 0.2850  1 Pd 2.58, 2 Ge 2.62, 1 Li 2.67
7 Ge 0.1898 0.8102 0.2850  1 Pd 2.58, 2 Ge 2.62, 1 Li 2.67
8 Ge 0.8102 0.6204 0.7150  1 Pd 2.58, 2 Ge 2.62, 1 Li 2.67
9 Ge 0.3796 0.1898 0.7150  1 Pd 2.58, 2 Ge 2.62, 1 Li 2.67
10 Ge 0.8102 0.1898 0.7150  1 Pd 2.58, 2 Ge 2.62, 1 Li 2.67
11 Pd 0.6667 0.3333 0.9702  3 Ge 2.58
12 Pd 0.3333 0.6667 0.0298  3 Ge 2.58

- Total energy: -5.012 eV/atom
- Symmetry: No. 164

The records above yield total magnetization values of 1.193 0.000 μB/atom, respectively.
The records above yield DOS at the Fermi energy values of 2.09 0.38 states/eV/atom, respectively.
The records above yield theoretical density values of 12.530 6.817 g/cm³, respectively.